[1]
Density functional theory data (PBE) for crystalline LiSmPaN3 at its relaxed geometry.

## Properties
Crystal system   monoclinic

Geometry as CIF:
```
data_LiSmPaN3
_cell_length_a 6.859
_cell_length_b 3.480
_cell_length_c 7.351
_cell_angle_alpha 90.00
_cell_angle_beta 101.09
_cell_angle_gamma 90.00
_space_group_name_H-M_alt 'P 1 21/m 1'
_space_group_IT_number 11
_space_group_name_Hall '-P 2yb'
loop_
_atom_site_label
_atom_site_type_symbol
_atom_site_fract_x
_atom_site_fract_y
_atom_site_fract_z
_atom_site_occupancy
Li1 Li 0.085 0.250 0.071 1
Sm1 Sm 0.272 0.750 0.814 1
Pa1 Pa 0.311 0.750 0.334 1
N1 N 0.006 0.250 0.803 1
N2 N 0.349 0.250 0.562 1
N3 N 0.367 0.250 0.142 1
```



[2]
Density functional theory data (PBE) for crystalline LiSm3Pa2N6 at its relaxed geometry.

## Properties
Crystal system   monoclinic

Geometry as CIF:
```
data_LiSm3Pa2N6
_cell_length_a 6.079
_cell_length_b 10.521
_cell_length_c 6.131
_cell_angle_alpha 90.00
_cell_angle_beta 109.14
_cell_angle_gamma 90.00
_space_group_name_H-M_alt 'C 1 2/m 1'
_space_group_IT_number 12
_space_group_name_Hall '-C 2y'
loop_
_atom_site_label
_atom_site_type_symbol
_atom_site_fract_x
_atom_site_fract_y
_atom_site_fract_z
_atom_site_occupancy
Li1 Li 0.000 0.000 0.000 1
Sm1 Sm 0.000 0.162 0.500 1
Sm2 Sm 0.000 0.500 0.500 1
Pa1 Pa 0.000 0.333 0.000 1
N1 N 0.216 0.500 0.230 1
N2 N 0.241 0.319 0.767 1
```



[3]
Density functional theory data (PBE) for crystalline LiSmPa2N5 at its relaxed geometry.

## Properties
Crystal system   orthorhombic

Geometry as CIF:
```
data_LiSmPa2N5
_cell_length_a 3.563
_cell_length_b 13.123
_cell_length_c 10.370
_cell_angle_alpha 90.00
_cell_angle_beta 90.00
_cell_angle_gamma 90.00
_space_group_name_H-M_alt 'C m c 21'
_space_group_IT_number 36
_space_group_name_Hall 'C 2c -2'
loop_
_atom_site_label
_atom_site_type_symbol
_atom_site_fract_x
_atom_site_fract_y
_atom_site_fract_z
_atom_site_occupancy
Li1 Li 0.000 0.008 0.000 1
Sm1 Sm 0.000 0.360 0.888 1
Pa1 Pa 0.000 0.324 0.574 1
Pa2 Pa 0.000 0.394 0.224 1
N1 N 0.000 0.003 0.803 1
N2 N 0.000 0.158 0.565 1
N3 N 0.000 0.174 0.934 1
N4 N 0.000 0.212 0.220 1
N5 N 0.000 0.493 0.573 1
```



[4]
Density functional theory data (PBE) for crystalline Li3Pa3SnN8 at its relaxed geometry.

## Properties
Crystal system   trigonal

Geometry as CIF:
```
data_Li3Pa3SnN8
_cell_length_a 6.9865
_cell_length_b 6.9865
_cell_length_c 14.6089
_cell_angle_alpha 90.00
_cell_angle_beta 90.00
_cell_angle_gamma 120.00
_space_group_name_H-M_alt 'R -3 m'
_space_group_IT_number 166
_space_group_name_Hall '-R 3 2"'
loop_
_atom_site_label
_atom_site_type_symbol
_atom_site_fract_x
_atom_site_fract_y
_atom_site_fract_z
_atom_site_occupancy
Li1 Li 0.0000 0.5000 0.0000 1
Pa1 Pa 0.0000 0.5000 0.5000 1
Sn1 Sn 0.0000 0.0000 0.5000 1
N1 N 0.0000 0.0000 0.2359 1
N2 N 0.0087 0.5044 0.2409 1
```



[5]
Density functional theory data (PBE) for crystalline Li3Pa2SnN6 at its relaxed geometry.

## Properties
Crystal system   monoclinic

Geometry as CIF:
```
data_Li3Pa2SnN6
_cell_length_a 5.777
_cell_length_b 10.481
_cell_length_c 5.459
_cell_angle_alpha 90.00
_cell_angle_beta 107.83
_cell_angle_gamma 90.00
_space_group_name_H-M_alt 'C 1 2/m 1'
_space_group_IT_number 12
_space_group_name_Hall '-C 2y'
loop_
_atom_site_label
_atom_site_type_symbol
_atom_site_fract_x
_atom_site_fract_y
_atom_site_fract_z
_atom_site_occupancy
Li1 Li 0.000 0.000 0.000 1
Li2 Li 0.000 0.360 0.000 1
Pa1 Pa 0.000 0.165 0.500 1
Sn1 Sn 0.000 0.500 0.500 1
N1 N 0.239 0.335 0.718 1
N2 N 0.240 0.000 0.730 1
```



[6]
Density functional theory data (PBE) for crystalline LiPa2SnN5 at its relaxed geometry.

## Properties
Crystal system   orthorhombic

Geometry as CIF:
```
data_LiPa2SnN5
_cell_length_a 3.412
_cell_length_b 13.100
_cell_length_c 10.192
_cell_angle_alpha 90.00
_cell_angle_beta 90.00
_cell_angle_gamma 90.00
_space_group_name_H-M_alt 'C m c 21'
_space_group_IT_number 36
_space_group_name_Hall 'C 2c -2'
loop_
_atom_site_label
_atom_site_type_symbol
_atom_site_fract_x
_atom_site_fract_y
_atom_site_fract_z
_atom_site_occupancy
Li1 Li 0.000 0.015 0.000 1
Pa1 Pa 0.000 0.369 0.813 1
Pa2 Pa 0.000 0.395 0.197 1
Sn1 Sn 0.000 0.305 0.520 1
N1 N 0.000 0.010 0.307 1
N2 N 0.000 0.141 0.546 1
N3 N 0.000 0.196 0.887 1
N4 N 0.000 0.211 0.199 1
N5 N 0.000 0.458 0.597 1
```



[7]
Density functional theory data (PBE) for crystalline Li4Pa3SnN8 at its relaxed geometry.

## Properties
Crystal system   trigonal

Geometry as CIF:
```
data_Li4Pa3SnN8
_cell_length_a 6.9083
_cell_length_b 6.9083
_cell_length_c 15.4146
_cell_angle_alpha 90.00
_cell_angle_beta 90.00
_cell_angle_gamma 120.00
_space_group_name_H-M_alt 'R -3 m'
_space_group_IT_number 166
_space_group_name_Hall '-R 3 2"'
loop_
_atom_site_label
_atom_site_type_symbol
_atom_site_fract_x
_atom_site_fract_y
_atom_site_fract_z
_atom_site_occupancy
Li1 Li 0.0000 0.0000 0.0000 1
Li2 Li 0.0000 0.5000 0.0000 1
Pa1 Pa 0.0000 0.5000 0.5000 1
Sn1 Sn 0.0000 0.0000 0.5000 1
N1 N 0.0000 0.0000 0.2359 1
N2 N 0.0015 0.5007 0.7591 1
```



[8]
Density functional theory data (PBE) for crystalline LiPaSnN3 at its relaxed geometry.

## Properties
Crystal system   monoclinic

Geometry as CIF:
```
data_LiPaSnN3
_cell_length_a 6.851
_cell_length_b 3.305
_cell_length_c 7.697
_cell_angle_alpha 90.00
_cell_angle_beta 106.66
_cell_angle_gamma 90.00
_space_group_name_H-M_alt 'P 1 21/m 1'
_space_group_IT_number 11
_space_group_name_Hall '-P 2yb'
loop_
_atom_site_label
_atom_site_type_symbol
_atom_site_fract_x
_atom_site_fract_y
_atom_site_fract_z
_atom_site_occupancy
Li1 Li 0.109 0.250 0.094 1
Pa1 Pa 0.291 0.750 0.837 1
Sn1 Sn 0.293 0.750 0.388 1
N1 N 0.023 0.250 0.803 1
N2 N 0.350 0.250 0.595 1
N3 N 0.379 0.250 0.055 1
```



[9]
Density functional theory data (PBE) for crystalline Sr4LiPa3N8 at its relaxed geometry.

## Properties
Crystal system   trigonal

Geometry as CIF:
```
data_Sr4LiPa3N8
_cell_length_a 7.2070
_cell_length_b 7.2070
_cell_length_c 17.8551
_cell_angle_alpha 90.00
_cell_angle_beta 90.00
_cell_angle_gamma 120.00
_space_group_name_H-M_alt 'R -3 m'
_space_group_IT_number 166
_space_group_name_Hall '-R 3 2"'
loop_
_atom_site_label
_atom_site_type_symbol
_atom_site_fract_x
_atom_site_fract_y
_atom_site_fract_z
_atom_site_occupancy
Sr1 Sr 0.0000 0.0000 0.0000 1
Sr2 Sr 0.0000 0.5000 0.0000 1
Li1 Li 0.0000 0.0000 0.5000 1
Pa1 Pa 0.0000 0.5000 0.5000 1
N1 N 0.0000 0.0000 0.2364 1
N2 N 0.0338 0.5169 0.7665 1
```



[10]
Density functional theory data (PBE) for crystalline SrLiPa2N4 at its relaxed geometry.

## Properties
Crystal system   orthorhombic

Geometry as CIF:
```
data_SrLiPa2N4
_cell_length_a 3.594
_cell_length_b 11.647
_cell_length_c 11.502
_cell_angle_alpha 90.00
_cell_angle_beta 90.00
_cell_angle_gamma 90.00
_space_group_name_H-M_alt 'C m c m'
_space_group_IT_number 63
_space_group_name_Hall '-C 2c 2'
loop_
_atom_site_label
_atom_site_type_symbol
_atom_site_fract_x
_atom_site_fract_y
_atom_site_fract_z
_atom_site_occupancy
Sr1 Sr 0.000 0.098 0.250 1
Li1 Li 0.000 0.172 0.750 1
Pa1 Pa 0.000 0.369 0.059 1
N1 N 0.000 0.000 0.000 1
N2 N 0.000 0.257 0.601 1
N3 N 0.000 0.424 0.250 1
```



[11]
Density functional theory data (PBE) for crystalline SrLiPaN3 at its relaxed geometry.

## Properties
Crystal system   monoclinic

Geometry as CIF:
```
data_SrLiPaN3
_cell_length_a 7.202
_cell_length_b 3.634
_cell_length_c 7.444
_cell_angle_alpha 90.00
_cell_angle_beta 106.57
_cell_angle_gamma 90.00
_space_group_name_H-M_alt 'P 1 21/m 1'
_space_group_IT_number 11
_space_group_name_Hall '-P 2yb'
loop_
_atom_site_label
_atom_site_type_symbol
_atom_site_fract_x
_atom_site_fract_y
_atom_site_fract_z
_atom_site_occupancy
Sr1 Sr 0.237 0.250 0.202 1
Li1 Li 0.423 0.750 0.926 1
Pa1 Pa 0.168 0.250 0.682 1
N1 N 0.140 0.750 0.449 1
N2 N 0.141 0.750 0.863 1
N3 N 0.467 0.250 0.797 1
```



[12]
Density functional theory data (PBE) for crystalline Sr2Li2PaN4 at its relaxed geometry.

## Properties
Crystal system   monoclinic

Geometry as CIF:
```
data_Sr2Li2PaN4
_cell_length_a 12.395
_cell_length_b 3.532
_cell_length_c 6.335
_cell_angle_alpha 90.00
_cell_angle_beta 113.20
_cell_angle_gamma 90.00
_space_group_name_H-M_alt 'C 1 2/m 1'
_space_group_IT_number 12
_space_group_name_Hall '-C 2y'
loop_
_atom_site_label
_atom_site_type_symbol
_atom_site_fract_x
_atom_site_fract_y
_atom_site_fract_z
_atom_site_occupancy
Sr1 Sr 0.143 0.000 0.073 1
Li1 Li 0.184 0.500 0.486 1
Pa1 Pa 0.000 0.000 0.500 1
N1 N 0.015 0.500 0.269 1
N2 N 0.196 0.000 0.677 1
```



| no. | theoretical density (g cm⁻³) | uncorrected energy (eV/atom) |
| --- | --- | --- |
| 1 | 8.3 | -8.127 |
| 2 | 9.0 | -8.525 |
| 3 | 9.4 | -8.638 |
| 4 | 7.6 | -7.701 |
| 5 | 7.2 | -7.286 |
| 6 | 9.6 | -8.189 |
| 7 | 7.4 | -7.528 |
| 8 | 7.9 | -7.250 |
| 9 | 7.2 | -7.706 |
| 10 | 8.5 | -8.359 |
| 11 | 6.5 | -7.301 |
| 12 | 6.2 | -6.385 |